# 1
Here is crystalline CdAsNO at its relaxed geometry from OQMD. Energies are from PBE-GGA.

## Properties
* E: -4.640 eV/atom
* space group: P4/nmm (129)
* polymorph energy (0 for the lowest one): 334 meV/atom

Lattice parameters (Å, degrees): 4.6273 4.6273 4.7020 90.00 90.00 90.00
Element x y z (fractional)
Cd 0.2500 0.2500 0.0011
Cd 0.7500 0.7500 0.9989
As 0.2500 0.7500 0.5000
As 0.7500 0.2500 0.5000
N 0.2500 0.2500 0.5000
N 0.7500 0.7500 0.5000
O 0.2500 0.7500 0.0000
O 0.7500 0.2500 0.0000

# 2
Here is crystalline PrSe2 at its relaxed geometry from OQMD. Energies are from PBE-GGA.

## Properties
* E: -5.187 eV/atom
* space group: P-6m2 (187)

Lattice parameters (Å, degrees): 4.5045 4.5045 21.5326 90.00 90.00 120.00
Element x y z (fractional)
Pr 0.0000 0.0000 0.0000
Pr 0.0000 0.0000 0.2688
Pr 0.0000 0.0000 0.7312
Pr 0.6667 0.3333 0.5000
Se 0.0000 0.0000 0.4228
Se 0.0000 0.0000 0.5772
Se 0.3333 0.6667 0.1994
Se 0.3333 0.6667 0.3235
Se 0.3333 0.6667 0.6765
Se 0.3333 0.6667 0.8006
Se 0.6667 0.3333 0.0744
Se 0.6667 0.3333 0.9256

# 3
Here is crystalline Rb3NdBr6 at its relaxed geometry from OQMD. Energies are from PBE-GGA.

## Properties
* E: -3.597 eV/atom
* space group: R-3 (148)

Lattice parameters (Å, degrees): 8.3399 8.3399 8.3399 62.03 62.03 62.03
Element x y z (fractional)
Rb 0.0000 0.0000 0.0000
Rb 0.2781 0.2781 0.2781
Rb 0.7219 0.7219 0.7219
Nd 0.5000 0.5000 0.5000
Br 0.1627 0.7065 0.3787
Br 0.2935 0.6213 0.8373
Br 0.3787 0.1627 0.7065
Br 0.6213 0.8373 0.2935
Br 0.7065 0.3787 0.1627
Br 0.8373 0.2935 0.6213

# 4
Here is crystalline GdEr2P3 at its relaxed geometry from OQMD. Energies are from PBE-GGA.

## Properties
* E: -6.610 eV/atom
* space group: P-3m1 (164)

Lattice parameters (Å, degrees): 3.9947 3.9947 9.7798 90.00 90.00 120.00
Element x y z (fractional)
Gd 0.0000 0.0000 0.0000
Er 0.3333 0.6667 0.3356
Er 0.6667 0.3333 0.6644
P 0.0000 0.0000 0.5000
P 0.3333 0.6667 0.8287
P 0.6667 0.3333 0.1713

# 5
Here is crystalline MgHgGePd at its relaxed geometry from OQMD. Energies are from PBE-GGA.

## Properties
* E: -3.069 eV/atom
* space group: F-43m (216)
* polymorph energy (0 for the lowest one): 0 meV/atom

Lattice parameters (Å, degrees): 4.7095 4.7095 4.7095 60.00 60.00 60.00
Element x y z (fractional)
Mg 0.0000 0.0000 0.0000
Hg 0.7500 0.7500 0.7500
Ge 0.5000 0.5000 0.5000
Pd 0.2500 0.2500 0.2500

# 6
Here is crystalline Li2MgCdIn2Ni2 at its relaxed geometry from OQMD. Energies are from PBE-GGA.

## Properties
* E: -3.097 eV/atom
* space group: P-4m2 (115)

Lattice parameters (Å, degrees): 4.4809 4.4809 6.3434 90.00 90.00 90.00
Element x y z (fractional)
Li 0.0000 0.5000 0.2474
Li 0.5000 0.0000 0.7526
Mg 0.0000 0.0000 0.5000
Cd 0.5000 0.5000 0.0000
In 0.0000 0.0000 0.0000
In 0.5000 0.5000 0.5000
Ni 0.0000 0.5000 0.7453
Ni 0.5000 0.0000 0.2547